! AcNiAg, relaxed, DFT PBE; values from VASP
! relative energy among the computed polymorphs	66	meV per atom
! V	73.4	Å³/cell
! D(E_F)	0.639	states/eV/atom
! crystal system	hexagonal
! ΔH_f (0 K)	-203	meV/atom
&SYSTEM
  ibrav = 0, nat = 3, ntyp = 3
/
ATOMIC_SPECIES
Ac 227.00 Ac.upf
Ni 58.69 Ni.upf
Ag 107.87 Ag.upf
CELL_PARAMETERS angstrom
4.512 0.000 0.000
-2.256 3.908 0.000
0.000 0.000 4.161
ATOMIC_POSITIONS crystal
Ac 0.000 0.000 0.000
Ni 0.333 0.667 0.500
Ag 0.667 0.333 0.500


! Ac2Ni2Ag, relaxed, DFT PBE; values from VASP
! relative energy among the computed polymorphs	0	meV per atom
! V	122.6	Å³/cell
! D(E_F)	0.898	states/eV/atom
! crystal system	orthorhombic
! ΔH_f (0 K)	-286	meV/atom
&SYSTEM
  ibrav = 0, nat = 5, ntyp = 3
/
ATOMIC_SPECIES
Ac 227.00 Ac.upf
Ni 58.69 Ni.upf
Ag 107.87 Ag.upf
CELL_PARAMETERS angstrom
2.080 -7.305 0.000
2.080 7.305 0.000
0.000 0.000 4.033
ATOMIC_POSITIONS crystal
Ac 0.134 0.866 0.000
Ac 0.866 0.134 0.000
Ni 0.297 0.703 0.500
Ni 0.703 0.297 0.500
Ag 0.500 0.500 0.500


! Ac4NiAg, relaxed, DFT PBE; values from VASP
! relative energy among the computed polymorphs	31	meV per atom
! V	420.4	Å³/cell
! D(E_F)	1.125	states/eV/atom
! crystal system	monoclinic
! ΔH_f (0 K)	-121	meV/atom
&SYSTEM
  ibrav = 0, nat = 12, ntyp = 3
/
ATOMIC_SPECIES
Ac 227.00 Ac.upf
Ni 58.69 Ni.upf
Ag 107.87 Ag.upf
CELL_PARAMETERS angstrom
4.807 -7.520 0.000
4.807 7.520 0.000
-3.709 0.000 5.815
ATOMIC_POSITIONS crystal
Ac 0.061 0.688 0.902
Ac 0.209 0.331 0.700
Ac 0.312 0.939 0.598
Ac 0.331 0.209 0.200
Ac 0.669 0.791 0.800
Ac 0.688 0.061 0.402
Ac 0.791 0.669 0.300
Ac 0.939 0.312 0.098
Ni 0.012 0.988 0.750
Ni 0.988 0.012 0.250
Ag 0.376 0.624 0.250
Ag 0.624 0.376 0.750


! Ac6Ni2Ag, relaxed, DFT PBE; values from VASP
! V	598.0	Å³/cell
! D(E_F)	1.011	states/eV/atom
! crystal system	orthorhombic
! ΔH_f (0 K)	-160	meV/atom
&SYSTEM
  ibrav = 0, nat = 18, ntyp = 3
/
ATOMIC_SPECIES
Ac 227.00 Ac.upf
Ni 58.69 Ni.upf
Ag 107.87 Ag.upf
CELL_PARAMETERS angstrom
-5.038 5.389 5.507
5.038 -5.389 5.507
5.038 5.389 -5.507
ATOMIC_POSITIONS crystal
Ac 0.027 0.222 0.805
Ac 0.176 0.297 0.473
Ac 0.176 0.703 0.878
Ac 0.328 0.017 0.689
Ac 0.328 0.639 0.311
Ac 0.417 0.222 0.195
Ac 0.583 0.778 0.805
Ac 0.672 0.361 0.689
Ac 0.672 0.983 0.311
Ac 0.824 0.297 0.122
Ac 0.824 0.703 0.527
Ac 0.973 0.778 0.195
Ni 0.122 0.622 0.500
Ni 0.357 0.000 0.357
Ni 0.643 0.000 0.643
Ni 0.878 0.378 0.500
Ag 0.000 0.000 0.000
Ag 0.500 0.500 0.000


! Ac3Ni2Ag4, relaxed, DFT PBE; values from VASP
! V	229.4	Å³/cell
! D(E_F)	0.650	states/eV/atom
! crystal system	monoclinic
! ΔH_f (0 K)	-236	meV/atom
&SYSTEM
  ibrav = 0, nat = 9, ntyp = 3
/
ATOMIC_SPECIES
Ac 227.00 Ac.upf
Ni 58.69 Ni.upf
Ag 107.87 Ag.upf
CELL_PARAMETERS angstrom
5.925 -2.234 0.000
5.925 2.234 0.000
-3.163 0.000 8.667
ATOMIC_POSITIONS crystal
Ac 0.000 0.000 0.000
Ac 0.319 0.319 0.351
Ac 0.681 0.681 0.649
Ni 0.387 0.387 0.725
Ni 0.613 0.613 0.275
Ag 0.040 0.040 0.371
Ag 0.279 0.279 0.930
Ag 0.721 0.721 0.070
Ag 0.960 0.960 0.629


! Ac3NiAg2, relaxed, DFT PBE; values from VASP
! relative energy among the computed polymorphs	0	meV per atom
! V	736.1	Å³/cell
! D(E_F)	0.893	states/eV/atom
! crystal system	orthorhombic
! ΔH_f (0 K)	-229	meV/atom
&SYSTEM
  ibrav = 0, nat = 24, ntyp = 3
/
ATOMIC_SPECIES
Ac 227.00 Ac.upf
Ni 58.69 Ni.upf
Ag 107.87 Ag.upf
CELL_PARAMETERS angstrom
12.762 0.000 0.000
0.000 4.365 0.000
0.000 0.000 13.215
ATOMIC_POSITIONS crystal
Ac 0.048 0.250 0.131
Ac 0.120 0.750 0.550
Ac 0.231 0.250 0.797
Ac 0.269 0.750 0.297
Ac 0.380 0.250 0.050
Ac 0.452 0.750 0.631
Ac 0.548 0.250 0.369
Ac 0.620 0.750 0.950
Ac 0.731 0.250 0.703
Ac 0.769 0.750 0.203
Ac 0.880 0.250 0.450
Ac 0.952 0.750 0.869
Ni 0.122 0.250 0.376
Ni 0.378 0.750 0.876
Ni 0.622 0.250 0.124
Ni 0.878 0.750 0.624
Ag 0.012 0.750 0.313
Ag 0.191 0.750 0.990
Ag 0.309 0.250 0.490
Ag 0.488 0.250 0.813
Ag 0.512 0.750 0.187
Ag 0.691 0.750 0.510
Ag 0.809 0.250 0.010
Ag 0.988 0.250 0.687


! AcNiAg2, relaxed, DFT PBE; values from VASP
! V	176.5	Å³/cell
! D(E_F)	0.525	states/eV/atom
! crystal system	monoclinic
! ΔH_f (0 K)	-195	meV/atom
&SYSTEM
  ibrav = 0, nat = 8, ntyp = 3
/
ATOMIC_SPECIES
Ac 227.00 Ac.upf
Ni 58.69 Ni.upf
Ag 107.87 Ag.upf
CELL_PARAMETERS angstrom
2.795 -6.725 0.000
2.795 6.725 0.000
-2.749 0.000 4.695
ATOMIC_POSITIONS crystal
Ac 0.105 0.895 0.750
Ac 0.895 0.105 0.250
Ni 0.497 0.503 0.750
Ni 0.503 0.497 0.250
Ag 0.176 0.505 0.923
Ag 0.495 0.824 0.577
Ag 0.505 0.176 0.423
Ag 0.824 0.495 0.077


! Ac2Ni2Ag, relaxed, DFT PBE; values from VASP
! relative energy among the computed polymorphs	30	meV per atom
! V	243.1	Å³/cell
! D(E_F)	0.725	states/eV/atom
! crystal system	tetragonal
! ΔH_f (0 K)	-256	meV/atom
&SYSTEM
  ibrav = 0, nat = 10, ntyp = 3
/
ATOMIC_SPECIES
Ac 227.00 Ac.upf
Ni 58.69 Ni.upf
Ag 107.87 Ag.upf
CELL_PARAMETERS angstrom
7.808 0.000 0.000
0.000 7.808 0.000
0.000 0.000 3.988
ATOMIC_POSITIONS crystal
Ac 0.182 0.318 0.000
Ac 0.318 0.818 0.000
Ac 0.682 0.182 0.000
Ac 0.818 0.682 0.000
Ni 0.111 0.611 0.500
Ni 0.389 0.111 0.500
Ni 0.611 0.889 0.500
Ni 0.889 0.389 0.500
Ag 0.000 0.000 0.500
Ag 0.500 0.500 0.500


! Ac6NiAg2, relaxed, DFT PBE; values from VASP
! V	654.1	Å³/cell
! D(E_F)	1.225	states/eV/atom
! crystal system	monoclinic
! ΔH_f (0 K)	-147	meV/atom
&SYSTEM
  ibrav = 0, nat = 18, ntyp = 3
/
ATOMIC_SPECIES
Ac 227.00 Ac.upf
Ni 58.69 Ni.upf
Ag 107.87 Ag.upf
CELL_PARAMETERS angstrom
7.233 0.000 0.000
0.000 8.086 0.000
-6.535 0.000 11.185
ATOMIC_POSITIONS crystal
Ac 0.113 0.033 0.252
Ac 0.113 0.467 0.752
Ac 0.223 0.680 0.059
Ac 0.223 0.820 0.559
Ac 0.379 0.193 0.059
Ac 0.379 0.307 0.559
Ac 0.621 0.693 0.441
Ac 0.621 0.807 0.941
Ac 0.777 0.180 0.441
Ac 0.777 0.320 0.941
Ac 0.887 0.533 0.248
Ac 0.887 0.967 0.748
Ni 0.000 0.000 0.000
Ni 0.000 0.500 0.500
Ag 0.332 0.107 0.767
Ag 0.332 0.393 0.267
Ag 0.668 0.607 0.733
Ag 0.668 0.893 0.233


! Ac7Ni2Ag2, relaxed, DFT PBE; values from VASP
! V	373.5	Å³/cell
! D(E_F)	1.043	states/eV/atom
! crystal system	orthorhombic
! ΔH_f (0 K)	-152	meV/atom
&SYSTEM
  ibrav = 0, nat = 11, ntyp = 3
/
ATOMIC_SPECIES
Ac 227.00 Ac.upf
Ni 58.69 Ni.upf
Ag 107.87 Ag.upf
CELL_PARAMETERS angstrom
-2.067 8.656 5.218
2.067 -8.656 5.218
2.067 8.656 -5.218
ATOMIC_POSITIONS crystal
Ac 0.000 0.000 0.000
Ac 0.255 0.359 0.896
Ac 0.262 0.571 0.690
Ac 0.463 0.359 0.104
Ac 0.590 0.201 0.389
Ac 0.812 0.201 0.611
Ac 0.881 0.571 0.310
Ni 0.209 0.709 0.500
Ni 0.609 0.609 0.000
Ag 0.092 0.855 0.237
Ag 0.617 0.855 0.763